Entry 1:
A relaxed NbFeCu3 crystal, computed with PBE-GGA.

Distance to the lowest polymorph of the same formula: 0.000 eV per atom
Symmetry: Pm-3m (221)
Magnetization: 0.583 μB/atom
E_form: 25.0 kcal/mol of atoms

Cell: 4.318 4.318 4.318 Å, 90.00 90.00 90.00°
Each line ends with the local moment (μB).
Atoms (fractional coordinates):
1 Nb 0.500 0.500 0.500  -0.10
2 Fe 0.000 0.000 0.000  2.56
3 Cu 0.000 0.500 0.000  0.20
4 Cu 0.000 0.000 0.500  0.24
5 Cu 0.500 0.000 0.000  0.08

=====

Entry 2:
A relaxed TbDy2Sn crystal, computed with PBE-GGA.

Distance to the lowest polymorph of the same formula: 0.468 eV per atom
Symmetry: R-3m (166)
Magnetization: 0.000 μB/atom
E_form: 1.1 kcal/mol of atoms

Cell: 3.506 3.506 12.096 Å, 81.67 81.67 60.00°
Atoms (fractional coordinates):
1 Tb 0.500 0.500 0.500
2 Sn 0.000 0.000 0.000
3 Dy 0.087 0.087 0.739
4 Dy 0.913 0.913 0.261

=====

Entry 3:
A relaxed Cs12Hg6H crystal, computed with PBE-GGA.

Symmetry: R-3 (148)
Magnetization: 0.000 μB/atom

Cell: 10.828 10.828 10.828 Å, 99.11 99.11 99.11°
Atoms (fractional coordinates):
1 Cs 0.428 0.179 0.574
2 Cs 0.179 0.574 0.428
3 Cs 0.574 0.428 0.179
4 Cs 0.572 0.821 0.426
5 Cs 0.821 0.426 0.572
6 Cs 0.426 0.572 0.821
7 Cs 0.016 0.934 0.698
8 Cs 0.302 0.984 0.066
9 Cs 0.066 0.302 0.984
10 Cs 0.984 0.066 0.302
11 Cs 0.698 0.016 0.934
12 Cs 0.934 0.698 0.016
13 Hg 0.129 0.298 0.640
14 Hg 0.702 0.360 0.871
15 Hg 0.360 0.871 0.702
16 Hg 0.871 0.702 0.360
17 Hg 0.298 0.640 0.129
18 Hg 0.640 0.129 0.298
19 H 0.000 0.000 0.000

=====

Entry 4:
A relaxed RbEuHg2 crystal, computed with PBE-GGA.

Symmetry: R-3m (166)
Magnetization: 1.890 μB/atom
E_form: -5.1 kcal/mol of atoms

Cell: 4.457 4.457 9.657 Å, 76.66 76.66 60.00°
Each line ends with the local moment (μB).
Atoms (fractional coordinates):
1 Eu 0.000 0.000 0.000  6.93
2 Hg 0.738 0.738 0.785  0.03
3 Hg 0.262 0.262 0.215  0.03
4 Rb 0.500 0.500 0.500  0.01

=====

Entry 5:
A relaxed SrTc3H crystal, computed with PBE-GGA.

Distance to the lowest polymorph of the same formula: 2.764 eV per atom
Symmetry: Pm-3m (221)
Magnetization: 0.000 μB/atom

Cell: 4.835 4.835 4.835 Å, 90.00 90.00 90.00°
Atoms (fractional coordinates):
1 Sr 0.000 0.000 0.000
2 Tc 0.000 0.500 0.000
3 Tc 0.000 0.000 0.500
4 Tc 0.500 0.000 0.000
5 H 0.500 0.500 0.500

=====

Entry 6:
A relaxed Si4Te3 crystal, computed with PBE-GGA.

Distance to the lowest polymorph of the same formula: 0.000 eV per atom
Formation energy from raw total energies: 0.24 eV/atom
Symmetry: I4/mmm (139)
Magnetization: 0.000 μB/atom

Cell: 15.848 15.848 15.848 Å, 167.87 167.87 17.18°
Atoms (fractional coordinates):
1 Si 0.911 0.911 0.000
2 Si 0.089 0.089 0.000
3 Si 0.611 0.611 0.000
4 Si 0.389 0.389 0.000
5 Te 0.000 0.000 0.000
6 Te 0.693 0.693 0.000
7 Te 0.307 0.307 0.000

=====

no.,energy (eV/atom)
1,-5.08
2,-4.41
3,-0.93
4,-3.18
5,-3.52
6,-4.20